Computed, not measured: crystalline VCdSF2 at its relaxed geometry at the PBE+U level of DFT.

The structure in POSCAR format:
```
VCdSF2
1.0
4.234 0.000 0.000
0.000 4.234 0.000
0.000 0.000 5.407
V Cd S F
1 1 1 2
Cartesian
0.000 0.000 0.000
2.117 2.117 0.000
2.117 2.117 2.703
0.000 2.117 2.703
2.117 0.000 2.703
```

Summary:
calculated volume: 96.9 Å³/cell
calculated total energy: -3.2363 eV per atom